[1]
Compound: Pr2ThPt2
Source: Alexandria via LeMat-Bulk
Functional: PBE
Structure: relaxed

```
Pr2ThPt2
1.0
-6.454 1.801 -0.796
-5.145 -4.095 3.851
-3.355 3.276 6.007
Pr Pt Th
4 4 2
Direct
0.651 0.718 0.979
0.151 0.979 0.718
0.349 0.282 0.021
0.849 0.021 0.282
0.605 0.133 0.658
0.105 0.658 0.133
0.395 0.867 0.342
0.895 0.342 0.867
0.250 0.500 0.500
0.750 0.500 0.500
```

## Properties
Its calculated formation energy is -0.769 eV per atom. As for the magnetization: 0.0 Bohr magnetons per cell.

***

[2]
Compound: Cr2CoP
Source: Alexandria via LeMat-Bulk
Functional: PBE
Structure: relaxed

```
Cr2CoP
1.0
3.736 0.000 0.000
0.000 2.594 0.005
0.000 2.102 4.597
Cr P Co
2 1 1
Direct
0.000 0.453 0.486
0.000 0.047 0.014
0.500 0.250 0.250
0.500 0.750 0.750
```

## Properties
Its calculated formation energy is -0.102 eV per atom. As for the magnetization: 0.0 Bohr magnetons per cell.

***

[3]
Compound: PmSmDy2Tm5
Source: Alexandria via LeMat-Bulk
Functional: PBE
Structure: relaxed

```
PmSmDy2Tm5
1.0
8.778 0.000 0.000
0.000 8.778 0.000
-4.389 -4.389 7.410
Dy Tm Pm Sm
4 10 2 2
Direct
0.615 0.115 0.000
0.385 0.885 0.000
0.885 0.615 0.000
0.115 0.385 0.000
0.338 0.838 0.266
0.072 0.572 0.734
0.572 0.662 0.734
0.838 0.928 0.266
0.500 0.500 0.000
0.162 0.072 0.734
0.662 0.162 0.734
0.428 0.338 0.266
0.928 0.428 0.266
0.000 0.000 0.000
0.250 0.250 0.500
0.750 0.750 0.500
0.750 0.250 0.500
0.250 0.750 0.500
```

## Properties
Its calculated formation energy is 0.282 eV per atom. As for the magnetization: 0.0 Bohr magnetons per cell.

***

[4]
Compound: SrTlPt2C
Source: Alexandria via LeMat-Bulk
Functional: PBE
Structure: relaxed

```
SrTlPt2C
1.0
4.281 0.000 0.000
0.000 5.345 0.000
0.000 0.000 4.281
C Tl Pt Sr
1 1 2 1
Direct
0.000 0.000 0.000
0.500 0.500 0.500
0.500 0.000 0.000
0.000 0.000 0.500
0.000 0.500 0.000
```

## Properties
Its calculated formation energy is 0.201 eV per atom. As for the magnetization: 0.0 Bohr magnetons per cell.

***

Question: Which value of calculated formation energy does entry 3 give?
Answer: 0.282 eV per atom

***

Question: What is the calculated formation energy in the fourth record?
Answer: 0.201 eV per atom